Entry 1:
## LaNdCBr (PBE-GGA)

Data for an optimized crystal structure of LaNdCBr.

Summary:
Crystal system: trigonal
Electronic total energy (eV/atom): -6.043

Cell: 3.8412 3.8412 15.1738 Å, 90.00 90.00 120.00°
Fractional coordinates of all 8 atoms:
La  0.3333  0.6667  0.4063
La  0.6667  0.3333  0.5937
Nd  0.3333  0.6667  0.0901
Nd  0.6667  0.3333  0.9099
C  0.0000  0.0000  0.0000
C  0.0000  0.0000  0.5000
Br  0.3333  0.6667  0.7572
Br  0.6667  0.3333  0.2428

***

Entry 2:
## TcAgB4 (PBE-GGA)

Data for an optimized crystal structure of TcAgB4.

Summary:
Crystal system: hexagonal
E above lowest polymorph (meV per atom): 0.0

Cell: 2.9704 2.9704 7.7432 Å, 90.00 90.00 120.00°
Fractional coordinates of all 6 atoms:
Tc  0.0000  0.0000  0.0000
Ag  0.0000  0.0000  0.5000
B  0.3333  0.6667  0.2167
B  0.3333  0.6667  0.7833
B  0.6667  0.3333  0.2167
B  0.6667  0.3333  0.7833

***

Entry 3:
## LiHfAg2 (PBE-GGA)

Data for an optimized crystal structure of LiHfAg2.

Summary:
Crystal system: cubic
Electronic total energy (eV/atom): -4.268

Cell: 4.6177 4.6177 4.6177 Å, 60.00 60.00 60.00°
Fractional coordinates of all 4 atoms:
Li  0.0000  0.0000  0.0000
Hf  0.2500  0.2500  0.2500
Ag  0.5000  0.5000  0.5000
Ag  0.7500  0.7500  0.7500